# VCd2O5, relaxed, DFT PBE with a Hubbard U
data_VCd2O5
_cell_length_a 8.5371
_cell_length_b 7.8167
_cell_length_c 5.3707
_cell_angle_alpha 90.00
_cell_angle_beta 127.08
_cell_angle_gamma 90.00
_symmetry_space_group_name_H-M 'C 1 m 1'
_symmetry_Int_Tables_number 8
_symmetry_space_group_name_Hall 'C -2y'
loop_
_atom_site_label
_atom_site_type_symbol
_atom_site_fract_x
_atom_site_fract_y
_atom_site_fract_z
_atom_site_occupancy
V1 V 0.0000 0.0000 0.0000 1
Cd1 Cd 0.3361 0.2730 0.2843 1
O1 O 0.0356 0.2224 0.1436 1
O2 O 0.2768 0.5000 0.9739 1
O3 O 0.2777 0.0000 0.2692 1
O4 O 0.4357 0.5000 0.6243 1
# - total magnetic moment (Bohr magnetons per cell) = 0.00
# - E (eV/cell) = -86.70
# - Fermi-level density of states (states/eV per cell) = 6.17
# - energy above the most stable polymorph in this dataset (eV per atom) = 0.025